Run i
This record from the Alexandria database describes a geometry-optimized TlCd3Ga structure. The functional is PBE-GGA. Values from VASP.

Geometry as Quantum ESPRESSO input:
```
&SYSTEM
  ibrav = 0, nat = 20, ntyp = 3
/
ATOMIC_SPECIES
Tl 204.38 Tl.upf
Cd 112.41 Cd.upf
Ga 69.72 Ga.upf
CELL_PARAMETERS angstrom
6.1630 -0.0554 -1.1809
-0.8228 8.2105 -4.6792
-0.0832 0.0356 9.6924
ATOMIC_POSITIONS angstrom
Tl 0.7488 7.8886 -4.7989
Cd -0.0152 5.6693 0.3800
Cd 4.8261 8.0898 0.6055
Cd 0.2920 2.7850 1.6426
Cd 3.2449 2.7421 1.1153
Ga 4.4186 3.4444 -1.3735
Tl 4.5914 0.2665 -1.0612
Cd 2.0121 5.4487 2.7169
Cd 0.4308 0.1009 3.2268
Ga 0.8384 4.7463 5.2058
Cd 3.0624 5.6800 -0.2323
Cd 3.6468 0.0310 2.6059
Tl 1.2652 2.7354 -1.8620
Tl 4.0749 5.4198 -3.9981
Ga 4.1745 2.1783 6.0631
Cd 1.6102 8.1597 1.2264
Cd 2.1946 2.5107 4.0646
Cd 5.2722 2.5214 3.4522
Cd 4.9649 5.4057 2.1897
Ga 1.0825 6.0124 -2.2308
```

Run ii
This record from the Alexandria database describes a geometry-optimized TlCd3Ga structure. The functional is PBE-GGA. Values from VASP.

Geometry as Quantum ESPRESSO input:
```
&SYSTEM
  ibrav = 0, nat = 20, ntyp = 3
/
ATOMIC_SPECIES
Ga 69.72 Ga.upf
Cd 112.41 Cd.upf
Tl 204.38 Tl.upf
CELL_PARAMETERS angstrom
8.4080 0.1730 -0.1155
2.5776 8.1566 -0.1957
-2.5776 -3.3099 7.4574
ATOMIC_POSITIONS angstrom
Ga 2.0687 1.3264 6.3577
Cd 7.9710 4.9136 4.7803
Cd 9.0745 2.7719 0.2756
Ga 6.2727 -0.4291 3.5401
Cd 0.0896 -0.4427 5.5323
Cd 0.4370 0.1061 2.3660
Cd 3.7670 2.2307 0.9479
Tl 2.1020 4.5775 6.7648
Ga 6.3394 3.6933 0.7886
Cd 8.3184 5.4624 1.6140
Cd 4.2936 -0.3456 5.4905
Cd 4.6411 2.7890 6.1984
Tl 2.1020 2.4637 3.5976
Cd 3.5376 -0.5494 2.4923
Cd 4.1144 5.3653 1.6559
Cd -0.6664 2.2478 6.8707
Ga 2.1353 5.4489 3.6063
Cd 4.8705 5.5691 4.6540
Tl 6.3060 0.4422 0.3815
Tl 6.3060 2.5561 3.5487
```

Run iii
This record from the Alexandria database describes a geometry-optimized TlCd3Ga structure. The functional is PBE-GGA. Values from VASP.

Geometry as Quantum ESPRESSO input:
```
&SYSTEM
  ibrav = 0, nat = 5, ntyp = 3
/
ATOMIC_SPECIES
Tl 204.38 Tl.upf
Cd 112.41 Cd.upf
Ga 69.72 Ga.upf
CELL_PARAMETERS angstrom
5.2596 0.0000 0.0000
0.0000 5.2596 0.0000
0.0000 0.0000 5.2596
ATOMIC_POSITIONS angstrom
Tl 2.6298 2.6298 2.6298
Cd 0.0000 2.6298 0.0000
Ga 0.0000 0.0000 0.0000
Cd 2.6298 0.0000 0.0000
Cd 0.0000 0.0000 2.6298
```

Relative stability in eV/atom, measured from the most stable structure: run i 0.000; run ii 0.044; run iii 0.160

Run i
This record from the Alexandria database describes a geometry-optimized TlCd4Ga structure. The functional is PBE-GGA. Values from VASP.

Geometry as Quantum ESPRESSO input:
```
&SYSTEM
  ibrav = 0, nat = 6, ntyp = 3
/
ATOMIC_SPECIES
Tl 204.38 Tl.upf
Cd 112.41 Cd.upf
Ga 69.72 Ga.upf
CELL_PARAMETERS angstrom
5.9391 0.0000 0.0000
2.9695 5.1434 0.0000
2.9695 1.7145 4.8492
ATOMIC_POSITIONS angstrom
Tl 0.0000 0.0000 0.0000
Cd 5.9391 3.4289 0.6105
Ga 2.9695 1.7145 1.2123
Cd 7.4203 4.2841 3.0293
Cd 4.4579 4.2841 3.0293
Cd 5.9391 1.7186 3.0293
```

Run ii
This record from the Alexandria database describes a geometry-optimized TlCd4Ga structure. The functional is PBE-GGA. Values from VASP.

Geometry as Quantum ESPRESSO input:
```
&SYSTEM
  ibrav = 0, nat = 12, ntyp = 3
/
ATOMIC_SPECIES
Ga 69.72 Ga.upf
Tl 204.38 Tl.upf
Cd 112.41 Cd.upf
CELL_PARAMETERS angstrom
-1.7759 -3.2091 -2.0468
6.9899 -2.9288 -1.4727
-0.3517 -4.6909 7.6598
ATOMIC_POSITIONS angstrom
Ga 1.2957 -4.1716 5.4163
Tl 4.0231 -5.3144 4.8417
Tl 2.6151 -2.3053 1.3454
Cd -0.1758 -2.3454 3.8299
Cd 1.1073 -5.0363 2.6260
Cd 0.0000 0.0000 0.0000
Cd 3.7550 -5.7925 1.5143
Cd 5.4063 -7.8706 3.3397
Cd 3.9051 -3.7895 -1.7563
Cd 0.9572 -7.0393 5.8966
Cd -0.5440 -2.9582 0.8006
Ga 5.3425 -3.4481 0.7708
```

Relative stability in eV/atom, measured from the most stable structure: run i 0.042; run ii 0.000

Run i
This record from the Alexandria database describes a geometry-optimized Tl3CdGa structure. The functional is PBE-GGA. Values from VASP.

Geometry as Quantum ESPRESSO input:
```
&SYSTEM
  ibrav = 0, nat = 5, ntyp = 3
/
ATOMIC_SPECIES
Cd 112.41 Cd.upf
Tl 204.38 Tl.upf
Ga 69.72 Ga.upf
CELL_PARAMETERS angstrom
-3.2544 -3.7543 2.4267
4.2401 -3.5433 0.2045
1.4162 1.9812 4.9643
ATOMIC_POSITIONS angstrom
Cd 1.2009 -2.6582 3.7977
Tl -1.6272 -1.8772 1.2134
Ga 0.0000 0.0000 0.0000
Tl 0.7081 0.9906 2.4821
Tl 2.1200 -1.7716 0.1022
```

Run ii
This record from the Alexandria database describes a geometry-optimized Tl3CdGa structure. The functional is PBE-GGA. Values from VASP.

Geometry as Quantum ESPRESSO input:
```
&SYSTEM
  ibrav = 0, nat = 5, ntyp = 3
/
ATOMIC_SPECIES
Tl 204.38 Tl.upf
Cd 112.41 Cd.upf
Ga 69.72 Ga.upf
CELL_PARAMETERS angstrom
-5.4633 -1.1225 0.9436
1.4280 -3.2448 4.4080
-0.3335 4.4955 3.4172
ATOMIC_POSITIONS angstrom
Tl -0.1667 2.2477 1.7086
Cd 0.0000 0.0000 0.0000
Tl -2.7316 -0.5613 0.4718
Tl 0.7140 -1.6224 2.2040
Ga -2.1844 0.0641 4.3844
```

Relative stability in eV/atom, measured from the most stable structure: run i 0.000; run ii 0.173

Run i
This record from the Alexandria database describes a geometry-optimized TmCd2Ga structure. The functional is PBE-GGA. Values from VASP.

Geometry as Quantum ESPRESSO input:
```
&SYSTEM
  ibrav = 0, nat = 4, ntyp = 3
/
ATOMIC_SPECIES
Ga 69.72 Ga.upf
Tm 168.93 Tm.upf
Cd 112.41 Cd.upf
CELL_PARAMETERS angstrom
-2.5589 -0.6440 -3.9710
2.7840 -3.0067 -1.3064
-2.3277 -3.0199 1.9898
ATOMIC_POSITIONS angstrom
Ga -1.2795 -0.3220 -1.9855
Tm -1.0513 -3.3353 -1.6438
Cd -1.1639 -1.5100 0.9949
Cd 1.3920 -1.5033 -0.6532
```

Run ii
This record from the Alexandria database describes a geometry-optimized TmCd2Ga structure. The functional is PBE-GGA. Values from VASP.

Geometry as Quantum ESPRESSO input:
```
&SYSTEM
  ibrav = 0, nat = 4, ntyp = 3
/
ATOMIC_SPECIES
Cd 112.41 Cd.upf
Tm 168.93 Tm.upf
Ga 69.72 Ga.upf
CELL_PARAMETERS angstrom
-1.8107 0.5247 -2.6228
-2.2611 -2.1417 -0.8564
-8.6991 4.7616 4.9693
ATOMIC_POSITIONS angstrom
Cd -6.6231 3.2629 3.2362
Tm 0.0000 0.0000 0.0000
Ga -6.3854 1.5723 0.7451
Cd -6.1478 -0.1182 -1.7461
```

Relative stability in eV/atom, measured from the most stable structure: run i 0.000; run ii 0.486

Run i
This record from the Alexandria database describes a geometry-optimized Tm3CdGa structure. The functional is PBE-GGA. Values from VASP.

Geometry as Quantum ESPRESSO input:
```
&SYSTEM
  ibrav = 0, nat = 20, ntyp = 3
/
ATOMIC_SPECIES
Cd 112.41 Cd.upf
Tm 168.93 Tm.upf
Ga 69.72 Ga.upf
CELL_PARAMETERS angstrom
6.2361 -0.4043 -0.3608
-0.2740 9.6042 2.0688
-0.2740 3.1452 9.3075
ATOMIC_POSITIONS angstrom
Cd 1.2851 6.2979 5.5707
Cd 1.2851 9.4682 2.0178
Tm 0.2851 9.0223 6.6407
Tm -0.0800 1.7923 2.1786
Tm 2.9981 8.5444 4.4600
Tm 3.4031 7.4194 8.0301
Tm 2.2851 4.9258 2.9854
Tm 5.4031 3.3229 4.3748
Ga 3.7528 10.2234 6.7587
Cd 4.4031 6.0472 5.4447
Tm -0.1200 5.6029 8.1636
Cd 4.4031 2.8769 8.9977
Tm 5.8081 6.7423 2.8519
Ga 1.9354 2.1218 4.2567
Tm 2.6501 10.1794 9.6623
Tm 5.7681 10.5528 8.8369
Ga 5.0535 4.2679 1.4447
Tm 3.0381 2.1657 1.3531
Ga 0.6347 8.0773 9.5708
Tm 2.6901 3.8007 6.5555
```

Run ii
This record from the Alexandria database describes a geometry-optimized Tm3CdGa structure. The functional is PBE-GGA. Values from VASP.

Geometry as Quantum ESPRESSO input:
```
&SYSTEM
  ibrav = 0, nat = 10, ntyp = 3
/
ATOMIC_SPECIES
Cd 112.41 Cd.upf
Tm 168.93 Tm.upf
Ga 69.72 Ga.upf
CELL_PARAMETERS angstrom
-1.1751 3.9632 -2.8516
-3.9476 0.9506 2.9480
5.1179 7.8165 4.3327
ATOMIC_POSITIONS angstrom
Cd 1.3776 9.4952 0.9180
Tm -2.6235 2.7322 2.0115
Cd -2.1443 5.8048 1.6623
Ga 0.4396 3.3709 1.6369
Tm 0.4783 11.0694 3.4766
Ga -0.0312 7.9658 3.7950
Tm 0.8955 6.4196 1.2642
Tm 3.0319 8.6045 3.4204
Tm -1.2450 4.2305 -0.8962
Tm -0.4871 4.9171 4.1677
```

Relative stability in eV/atom, measured from the most stable structure: run i 0.099; run ii 0.000